TlSbPtS2 | Alexandria | PBE | optimized geometry; uncorrected formation energy = 21.77 kcal/mol of atoms; SG = P4/mmm
1.0
-3.7040 -2.7751 1.6592
3.1956 -5.0011 -1.2306
1.9324 0.1227 4.5193
Sb Tl S Pt
1 1 2 1
Direct
0.0000 0.0000 0.0000
0.0000 0.5000 0.0000
0.0000 0.0000 0.5000
0.5000 0.0000 0.0000
0.5000 0.5000 0.5000